Na2LiCrTc | PBE | optimized geometry

Cell and atoms, written as extended XYZ:
```
5
Lattice="5.617 0.000 0.000 0.000 4.416 0.000 0.000 0.000 5.617" Properties=species:S:1:pos:R:3 pbc="T T T"
Cr 0.000 0.000 0.000
Tc 0.000 2.208 0.000
Na 2.809 0.000 0.000
Na 0.000 0.000 2.809
Li 2.809 2.208 2.809
```

Output
As for the energy: -19.493 eV per cell.